Entry 1:
K2FeP (PBE, optimized geometry); volume = 31.72 Å³ per atom; calculated density = 2.16 g cm⁻³; raw total energy = -15.96 eV for the cell shown
1.0
-0.146 3.746 2.170
-5.273 0.615 -1.417
-4.158 -2.298 3.686
K P Fe
2 1 1
direct
0.500 0.275 0.323 K
0.000 0.967 0.941 K
0.000 0.656 0.573 P
0.500 0.601 0.663 Fe

Entry 2:
K2FeP (PBE, optimized geometry); volume = 26.67 Å³ per atom; calculated density = 2.57 g cm⁻³; raw total energy = -13.66 eV for the cell shown
1.0
4.977 0.335 0.000
-2.468 4.335 0.000
0.000 0.000 4.762
P K Fe
1 2 1
direct
0.500 0.000 0.500 P
0.500 0.500 0.000 K
0.000 0.000 0.000 K
0.000 0.500 0.500 Fe

Entry 3:
K2FeP (PBE, optimized geometry); volume = 26.93 Å³ per atom; calculated density = 2.54 g cm⁻³; raw total energy = -12.83 eV for the cell shown
1.0
-4.994 2.817 -1.989
-0.877 -4.422 -4.063
-1.607 -1.472 1.950
K P Fe
2 1 1
direct
0.500 0.500 0.000 K
0.000 0.000 0.000 K
0.500 0.000 0.500 P
0.000 0.500 0.500 Fe